A plane-wave DFT calculation with PBEsol was carried out for a relaxed LiBrN2O crystal.

## Properties
Symmetry: P4/mmm, No. 123
Formation energy from raw total energies: 1.4429 eV per atom
DOS at the Fermi energy: 3.34 states/eV per cell

a = 3.836 Å, b = 3.836 Å, c = 4.050 Å
α = 90.00°, β = 90.00°, γ = 90.00°
Atoms (fractional coordinates):
N  0.000  0.500  0.000
Li  0.500  0.500  0.500
N  0.500  0.000  0.000
O  0.000  0.000  0.500
Br  0.000  0.000  0.000


A plane-wave DFT calculation with PBEsol was carried out for a relaxed LiNbBr2 crystal.

## Properties
Symmetry: R-3m, No. 166
Formation energy from raw total energies: -0.4195 eV per atom
DOS at the Fermi energy: 3.70 states/eV per cell

a = 3.336 Å, b = 3.336 Å, c = 8.584 Å
α = 78.80°, β = 78.80°, γ = 60.00°
Atoms (fractional coordinates):
Nb  0.000  0.000  0.000
Br  0.899  0.899  0.303
Li  0.500  0.500  0.500
Br  0.101  0.101  0.697


A plane-wave DFT calculation with PBEsol was carried out for a relaxed LiNbBrO2 crystal.

## Properties
Symmetry: P4/mmm, No. 123
Formation energy from raw total energies: 0.7537 eV per atom
DOS at the Fermi energy: 3.57 states/eV per cell

a = 4.127 Å, b = 4.309 Å, c = 4.309 Å
α = 90.00°, β = 90.00°, γ = 90.00°
Atoms (fractional coordinates):
Br  0.000  0.000  0.000
O  0.000  0.000  0.500
O  0.000  0.500  0.000
Li  0.500  0.000  0.000
Nb  0.500  0.500  0.500


A plane-wave DFT calculation with PBEsol was carried out for a relaxed Li2NiBr crystal.

## Properties
Symmetry: P4mm, No. 99
Formation energy from raw total energies: -0.1632 eV per atom
DOS at the Fermi energy: 4.14 states/eV per cell

a = 3.349 Å, b = 3.349 Å, c = 5.480 Å
α = 90.00°, β = 90.00°, γ = 90.00°
Atoms (fractional coordinates):
Br  0.500  0.500  0.776
Li  0.000  0.000  0.984
Ni  0.000  0.000  0.460
Li  0.500  0.500  0.280


A plane-wave DFT calculation with PBEsol was carried out for a relaxed LiNiBr2 crystal.

## Properties
Symmetry: Cm, No. 8
Formation energy from raw total energies: -0.5906 eV per atom
DOS at the Fermi energy: 3.17 states/eV per cell
Excess energy over the best structure of this formula in the dataset: 0.200 eV per formula unit

a = 3.509 Å, b = 3.515 Å, c = 6.806 Å
α = 89.92°, β = 104.94°, γ = 90.00°
Atoms (fractional coordinates):
Br  0.991  0.872  0.982
Li  0.449  0.373  0.899
Ni  0.805  0.879  0.609
Br  0.255  0.376  0.510


A plane-wave DFT calculation with PBEsol was carried out for a relaxed LiNiBr2 crystal.

## Properties
Symmetry: P4/mmm, No. 123
Formation energy from raw total energies: -0.6406 eV per atom
DOS at the Fermi energy: 1.74 states/eV per cell
Excess energy over the best structure of this formula in the dataset: 0.000 eV per formula unit

a = 3.662 Å, b = 3.662 Å, c = 5.148 Å
α = 90.00°, β = 90.00°, γ = 90.00°
Atoms (fractional coordinates):
Br  0.500  0.500  0.000
Br  0.000  0.000  0.500
Li  0.000  0.000  0.000
Ni  0.500  0.500  0.500